No. 1
BeAl2Mo | PBE | optimized geometry

Cell: 3.757 3.757 3.847 Å, 90.00 90.00 90.00°
Fractional positions:
Al 0.000 0.000 0.000
Mo 0.000 0.500 0.500
Be 0.500 0.000 0.500
Al 0.500 0.500 0.000

* calculated formation energy: -0.10 eV/atom
* V: 54 Å³ per cell
* magnetic moment: 0.3 μB per formula unit

***

No. 2
BeGePt3 | PBE | optimized geometry

Cell: 4.295 4.295 4.295 Å, 90.00 90.00 90.00°
Fractional positions:
Pt 0.500 0.000 0.000
Pt 0.000 0.000 0.500
Ge 0.500 0.500 0.500
Pt 0.000 0.500 0.000
Be 0.000 0.000 0.000

* calculated formation energy: 0.04 eV/atom
* energy above the most stable polymorph in this dataset: 0 meV per atom
* V: 79 Å³ per cell
* magnetic moment: 0.0 μB per formula unit

***

No. 3
Re2AsPt | PBE | optimized geometry

Cell: 5.696 5.696 6.777 Å, 65.15 65.15 90.00°
Fractional positions:
Pt 0.000 0.000 0.000
Re 0.875 0.875 0.750
Re 0.125 0.625 0.250
As 0.500 0.500 0.000
Re 0.625 0.125 0.250
Re 0.375 0.375 0.750
Pt 0.750 0.250 0.500
As 0.250 0.750 0.500

* calculated formation energy: 1.07 eV/atom
* V: 177 Å³ per cell
* magnetic moment: 0.0 μB per formula unit

***

No. 4
Sr2Li2In3 | PBE | optimized geometry

Cell: 5.067 7.819 10.759 Å, 90.00 103.62 90.00°
Fractional positions:
Sr 0.157 0.250 0.314
Li 0.308 0.066 0.616
In 0.436 0.935 0.871
In 0.436 0.565 0.871
Sr 0.051 0.750 0.102
In 0.564 0.435 0.129
Sr 0.949 0.250 0.898
Li 0.692 0.566 0.384
Li 0.692 0.934 0.384
In 0.221 0.750 0.443
Sr 0.843 0.750 0.686
In 0.564 0.065 0.129
Li 0.308 0.434 0.616
In 0.779 0.250 0.557

* calculated formation energy: -0.29 eV/atom
* V: 414 Å³ per cell
* magnetic moment: 0.0 μB per formula unit

***

No. 5
Sr2Zn2Rh | PBE | optimized geometry

Cell: 7.104 7.104 4.867 Å, 90.00 90.00 90.00°
Fractional positions:
Sr 0.185 0.685 0.500
Rh 0.000 0.000 0.000
Sr 0.315 0.185 0.500
Sr 0.815 0.315 0.500
Zn 0.632 0.132 0.000
Zn 0.368 0.868 0.000
Sr 0.685 0.815 0.500
Rh 0.500 0.500 0.000
Zn 0.132 0.368 0.000
Zn 0.868 0.632 0.000

* calculated formation energy: -0.12 eV/atom
* energy above the most stable polymorph in this dataset: 216 meV per atom
* V: 246 Å³ per cell
* magnetic moment: 0.0 μB per formula unit

***

No. 6
FePOs2 | PBE | optimized geometry

Cell: 8.055 8.055 8.055 Å, 19.99 19.99 19.99°
Fractional positions:
Os 0.506 0.506 0.506
P 0.250 0.250 0.250
Fe 0.750 0.750 0.750
Os 0.994 0.994 0.994

* calculated formation energy: 0.17 eV/atom
* V: 53 Å³ per cell
* magnetic moment: 2.4 μB per formula unit

***

No. 7
Tm4Te | PBE | optimized geometry

Cell: 5.604 5.604 5.604 Å, 90.00 90.00 90.00°
Fractional positions:
Tm 0.000 0.000 0.000
Tm 0.500 0.000 0.500
Tm 0.500 0.500 0.000
Tm 0.000 0.500 0.500
Te 0.500 0.500 0.500

* energy above the most stable polymorph in this dataset: 392 meV per atom
* V: 176 Å³ per cell
* E_form (uncorrected): 0.07 eV per atom
* magnetic moment: 0.8 μB per formula unit

***

No. 8
NaMgZn3 | PBE | optimized geometry

Cell: 5.182 5.182 5.182 Å, 90.00 90.00 90.00°
Fractional positions:
Zn 0.000 0.000 0.500
Na 0.500 0.500 0.500
Zn 0.000 0.500 0.000
Zn 0.500 0.000 0.000
Mg 0.000 0.000 0.000

* calculated formation energy: 0.40 eV/atom
* energy above the most stable polymorph in this dataset: 432 meV per atom
* V: 139 Å³ per cell
* magnetic moment: 0.0 μB per formula unit

***

No. 9
Pm5HgPb2 | PBE | optimized geometry

Cell: 7.184 7.184 6.850 Å, 121.65 121.62 90.00°
Fractional positions:
Pb 0.222 0.722 0.444
Hg 0.220 0.221 0.441
Pm 0.223 0.722 0.944
Pm 0.722 0.223 0.944
Pm 0.223 0.223 0.944
Pm 0.722 0.722 0.944
Pm 0.723 0.723 0.447
Pb 0.722 0.222 0.444

* calculated formation energy: -0.38 eV/atom
* V: 237 Å³ per cell
* magnetic moment: 0.0 μB per formula unit

***

No. 10
Sr2PmAgO5 | PBE | optimized geometry

Cell: 6.618 6.618 7.740 Å, 115.31 115.31 90.00°
Fractional positions:
Ag 0.250 0.750 0.500
Ag 0.750 0.250 0.500
O 0.531 0.680 0.711
O 0.680 0.180 0.711
Pm 0.250 0.250 0.500
Sr 0.161 0.339 0.000
O 0.000 0.000 0.000
O 0.320 0.820 0.289
Sr 0.839 0.661 0.000
O 0.469 0.320 0.289
O 0.820 0.969 0.289
Pm 0.750 0.750 0.500
O 0.180 0.031 0.711
O 0.969 0.469 0.289
O 0.500 0.500 0.000
Sr 0.339 0.839 0.000
O 0.031 0.531 0.711
Sr 0.661 0.161 0.000

* V: 270 Å³ per cell
* E_form (uncorrected): -1.80 eV per atom
* magnetic moment: 2.1 μB per formula unit

***

No. 11
Zr2TaTe | PBE | optimized geometry

Cell: 4.745 3.513 5.561 Å, 71.59 90.00 90.00°
Fractional positions:
Te 0.500 0.542 0.791
Zr 0.000 0.976 0.920
Ta 0.000 0.716 0.446
Zr 0.500 0.266 0.343

* V: 88 Å³ per cell
* E_form (uncorrected): -0.22 eV per atom
* magnetic moment: 0.0 μB per formula unit

***

No. 12
LiScIr2 | PBE | optimized geometry

Cell: 2.798 2.798 8.508 Å, 90.00 90.00 90.01°
Fractional positions:
Ir 0.500 0.500 0.237
Li 0.000 0.000 0.462
Ir 0.000 0.000 0.020
Sc 0.500 0.500 0.781

* calculated formation energy: -0.08 eV/atom
* V: 67 Å³ per cell
* magnetic moment: 0.0 μB per formula unit

***

No. 13
LiPr4Th3Te8 | PBE | optimized geometry

Cell: 8.968 8.956 8.968 Å, 120.05 120.00 90.00°
Fractional positions:
Te 0.760 0.262 0.520
Te 0.242 0.262 0.002
Pr 0.000 0.000 0.000
Li 0.000 0.500 0.000
Te 0.758 0.738 0.998
Th 0.500 0.500 0.500
Th 0.500 0.500 0.000
Te 0.750 0.749 0.499
Pr 0.500 0.000 0.000
Te 0.240 0.738 0.998
Pr 0.000 0.000 0.500
Pr 0.500 0.000 0.500
Th 0.000 0.500 0.500
Te 0.240 0.738 0.480
Te 0.760 0.262 0.002
Te 0.250 0.251 0.501

* V: 509 Å³ per cell
* E_form (uncorrected): -1.25 eV per atom
* magnetic moment: 0.0 μB per formula unit

***

No. 14
SmDy3Hg | PBE | optimized geometry

Cell: 6.727 6.727 8.759 Å, 87.79 120.06 113.45°
Fractional positions:
Dy 0.731 0.909 0.141
Dy 0.181 0.562 0.743
Sm 0.678 0.060 0.738
Dy 0.768 0.590 0.859
Hg 0.757 0.743 0.500
Dy 0.269 0.091 0.859
Dy 0.232 0.410 0.141
Hg 0.243 0.257 0.500
Sm 0.322 0.940 0.262
Dy 0.819 0.438 0.257

* calculated formation energy: -0.11 eV/atom
* V: 308 Å³ per cell
* magnetic moment: 0.0 μB per formula unit

***

No. 15
PtAu2 | PBE | optimized geometry

Cell: 13.494 13.494 13.494 Å, 167.98 167.98 17.03°
Fractional positions:
Au 0.329 0.829 0.500
Pt 0.000 0.000 0.000
Au 0.579 0.579 0.000
Au 0.421 0.421 0.000
Au 0.171 0.671 0.500
Pt 0.750 0.250 0.500

* calculated formation energy: 0.08 eV/atom
* energy above the most stable polymorph in this dataset: 53 meV per atom
* V: 107 Å³ per cell
* magnetic moment: 0.0 μB per formula unit

***

No. 16
SrYTm2 | PBE | optimized geometry

Cell: 3.651 3.651 10.534 Å, 90.00 90.00 90.00°
Fractional positions:
Y 0.500 0.500 0.000
Sr 0.500 0.500 0.500
Tm 0.000 0.000 0.779
Tm 0.000 0.000 0.221

* calculated formation energy: 0.15 eV/atom
* energy above the most stable polymorph in this dataset: 0 meV per atom
* V: 140 Å³ per cell
* magnetic moment: 0.0 μB per formula unit

***

No. 17
Li19Mg6Zn4 | PBE | optimized geometry

Cell: 8.998 8.998 8.998 Å, 109.47 109.47 109.47°
Fractional positions:
Li 0.187 0.205 0.521
Li 0.666 0.479 0.685
Mg 0.857 0.357 0.500
Mg 0.500 0.143 0.643
Zn 0.000 0.640 0.000
Mg 0.357 0.500 0.857
Mg 0.500 0.857 0.357
Li 0.479 0.685 0.666
Zn 0.000 0.000 0.640
Mg 0.143 0.643 0.500
Li 0.000 0.000 0.000
Li 0.019 0.813 0.334
Li 0.205 0.521 0.187
Mg 0.643 0.500 0.143
Li 0.252 0.252 0.000
Li 0.315 0.795 0.981
Li 0.521 0.187 0.205
Zn 0.360 0.360 0.360
Li 0.000 0.252 0.252
Li 0.000 0.748 0.748
Li 0.748 0.748 0.000
Li 0.795 0.981 0.315
Li 0.981 0.315 0.795
Li 0.748 0.000 0.748
Zn 0.640 0.000 0.000
Li 0.813 0.334 0.019
Li 0.685 0.666 0.479
Li 0.252 0.000 0.252
Li 0.334 0.019 0.813

* calculated formation energy: 0.06 eV/atom
* V: 561 Å³ per cell
* magnetic moment: 0.0 μB per formula unit

***

No. 18
AcPm2SmHo5 | PBE | optimized geometry

Cell: 8.838 8.838 9.990 Å, 116.25 116.25 90.00°
Fractional positions:
Ho 0.426 0.338 0.264
Ho 0.574 0.662 0.736
Ho 0.926 0.426 0.264
Ho 0.074 0.574 0.736
Sm 0.250 0.750 0.500
Ac 0.250 0.250 0.500
Ho 0.662 0.162 0.736
Ho 0.338 0.838 0.264
Sm 0.750 0.250 0.500
Pm 0.884 0.616 0.000
Ho 0.162 0.074 0.736
Pm 0.116 0.384 0.000
Pm 0.616 0.116 0.000
Ac 0.750 0.750 0.500
Ho 0.500 0.500 0.000
Ho 0.000 0.000 0.000
Ho 0.838 0.926 0.264
Pm 0.384 0.884 0.000

* calculated formation energy: 0.25 eV/atom
* V: 609 Å³ per cell
* magnetic moment: 0.0 μB per formula unit

***

No. 19
Hf3SiAs | PBE | optimized geometry

Cell: 4.865 4.865 4.865 Å, 90.00 90.00 90.00°
Fractional positions:
Hf 0.000 0.500 0.000
Hf 0.500 0.000 0.000
Hf 0.000 0.000 0.500
As 0.500 0.500 0.500
Si 0.000 0.000 0.000

* energy above the most stable polymorph in this dataset: 0 meV per atom
* V: 115 Å³ per cell
* E_form (uncorrected): 0.33 eV per atom
* magnetic moment: 0.0 μB per formula unit

***

No. 20
BaTe3 | PBE | optimized geometry

Cell: 5.098 5.098 5.098 Å, 90.00 90.00 90.00°
Fractional positions:
Ba 0.000 0.000 0.000
Te 0.500 0.000 0.500
Te 0.000 0.500 0.500
Te 0.500 0.500 0.000

* V: 133 Å³ per cell
* E_form (uncorrected): -0.67 eV per atom
* magnetic moment: 0.0 μB per formula unit

***

No. 21
InPbO3 | PBE | optimized geometry

Cell: 6.716 6.716 6.716 Å, 90.00 90.00 90.00°
Fractional positions:
O 0.359 0.976 0.216
O 0.476 0.284 0.641
O 0.216 0.359 0.976
In 0.906 0.406 0.094
O 0.976 0.216 0.359
O 0.641 0.476 0.284
O 0.524 0.784 0.859
O 0.024 0.716 0.141
Pb 0.373 0.627 0.127
In 0.406 0.094 0.906
O 0.284 0.641 0.476
In 0.594 0.594 0.594
O 0.859 0.524 0.784
O 0.784 0.859 0.524
In 0.094 0.906 0.406
Pb 0.627 0.127 0.373
Pb 0.127 0.373 0.627
O 0.141 0.024 0.716
O 0.716 0.141 0.024
Pb 0.873 0.873 0.873

* V: 303 Å³ per cell
* E_form (uncorrected): -1.17 eV per atom
* magnetic moment: 0.0 μB per formula unit

***

No. 22
AgRhI | PBE | optimized geometry

Cell: 3.972 3.972 15.361 Å, 90.00 90.00 90.00°
Fractional positions:
Rh 0.500 0.500 0.358
Ag 0.500 0.000 0.000
Ag 0.000 0.500 0.500
Rh 0.500 0.500 0.642
I 0.000 0.000 0.324
Ag 0.500 0.000 0.500
Rh 0.000 0.000 0.142
Rh 0.000 0.000 0.858
Ag 0.000 0.500 0.000
I 0.000 0.000 0.676
I 0.500 0.500 0.176
I 0.500 0.500 0.824

* energy above the most stable polymorph in this dataset: 158 meV per atom
* V: 242 Å³ per cell
* E_form (uncorrected): 0.31 eV per atom
* magnetic moment: 0.0 μB per formula unit